# 1
The following is a DFT calculation (SCAN) of a crystal of MnIrRu relaxed with PBEsol.

Output
Final energy (eV per formula unit): -124.3
Volume (Å³/atom): 12.90
Spin magnetization (μB per atom): 0.68

Cell and atoms, written as CIF:
```
data_MnIrRu
_chemical_formula_sum 'Mn1 Ir1 Ru1'
_symmetry_space_group_name_H-M 'P 1'
_symmetry_Int_Tables_number 1
_cell_length_a 2.6414
_cell_length_b 4.1129
_cell_length_c 4.1129
_cell_angle_alpha 120.00
_cell_angle_beta 90.00
_cell_angle_gamma 90.00
loop_
_symmetry_equiv_pos_as_xyz
'x,y,z'
loop_
_atom_site_label
_atom_site_type_symbol
_atom_site_fract_x
_atom_site_fract_y
_atom_site_fract_z
Ir1 Ir 0.5000 0.0000 0.0000
Mn1 Mn 0.0000 0.3333 0.6667
Ru1 Ru 0.0000 0.6667 0.3333
```

***

# 2
The following is a DFT calculation (SCAN) of a crystal of Y3BiC relaxed with PBEsol.

Output
E above lowest polymorph (eV per formula unit): 0.00
Volume (Å³/atom): 23.47
Spin magnetization (μB per atom): 0.00

Cell and atoms, written as CIF:
```
data_Y3BiC
_chemical_formula_sum 'Y6 Bi2 C2'
_symmetry_space_group_name_H-M 'P 1'
_symmetry_Int_Tables_number 1
_cell_length_a 4.8172
_cell_length_b 6.7580
_cell_length_c 7.9610
_cell_angle_alpha 115.12
_cell_angle_beta 90.00
_cell_angle_gamma 90.00
loop_
_symmetry_equiv_pos_as_xyz
'x,y,z'
loop_
_atom_site_label
_atom_site_type_symbol
_atom_site_fract_x
_atom_site_fract_y
_atom_site_fract_z
Y1 Y 0.5000 0.7603 0.0000
Y2 Y 0.0000 0.8699 0.7398
Y3 Y 0.5000 0.2397 0.0000
Y4 Y 0.5000 0.0000 0.5000
Y5 Y 0.0000 0.1301 0.2602
Y6 Y 0.5000 0.5000 0.5000
C1 C 0.5000 0.1271 0.2542
C2 C 0.5000 0.8729 0.7458
Bi1 Bi 0.0000 0.6347 0.2694
Bi2 Bi 0.0000 0.3653 0.7306
```

***

# 3
The following is a DFT calculation (SCAN) of a crystal of Na2Mg2Tl relaxed with PBEsol.

Output
Final energy (eV per formula unit): -89.8
Volume (Å³/atom): 28.17
Spin magnetization (μB per atom): 0.00

Cell and atoms, written as CIF:
```
data_Na2Mg2Tl
_chemical_formula_sum 'Na2 Mg2 Tl1'
_symmetry_space_group_name_H-M 'P 1'
_symmetry_Int_Tables_number 1
_cell_length_a 4.1137
_cell_length_b 4.1137
_cell_length_c 8.8153
_cell_angle_alpha 103.49
_cell_angle_beta 103.49
_cell_angle_gamma 90.00
loop_
_symmetry_equiv_pos_as_xyz
'x,y,z'
loop_
_atom_site_label
_atom_site_type_symbol
_atom_site_fract_x
_atom_site_fract_y
_atom_site_fract_z
Na1 Na 0.2500 0.7500 0.5000
Na2 Na 0.7500 0.2500 0.5000
Tl1 Tl 0.0000 0.0000 0.0000
Mg1 Mg 0.4104 0.4104 0.8208
Mg2 Mg 0.5896 0.5896 0.1792
```

***

# 4
The following is a DFT calculation (SCAN) of a crystal of LiSbMo relaxed with PBEsol.

Output
E above lowest polymorph (eV per formula unit): 0.52
Volume (Å³/atom): 20.00
Spin magnetization (μB per atom): 0.54
Raw formation energy (eV/atom): 0.358

Cell and atoms, written as CIF:
```
data_LiSbMo
_chemical_formula_sum 'Li1 Sb1 Mo1'
_symmetry_space_group_name_H-M 'P 1'
_symmetry_Int_Tables_number 1
_cell_length_a 4.3947
_cell_length_b 4.3947
_cell_length_c 4.3947
_cell_angle_alpha 60.00
_cell_angle_beta 60.00
_cell_angle_gamma 60.00
loop_
_symmetry_equiv_pos_as_xyz
'x,y,z'
loop_
_atom_site_label
_atom_site_type_symbol
_atom_site_fract_x
_atom_site_fract_y
_atom_site_fract_z
Sb1 Sb 0.7500 0.7500 0.7500
Mo1 Mo 0.5000 0.5000 0.5000
Li1 Li 0.0000 0.0000 0.0000
```